Density functional theory data (PBE) for a relaxed structure of Tl7BiPb4.

a b c (Å): 3.4969 3.4969 35.5867
angles (deg): 90.00 90.00 120.00
Last column: nearest neighbours and their distance in Å.
Space group P-3m1 (No. 164)
Asymmetric unit:
Tl  0.0000  0.0000  0.0000 x1  6 Tl 3.50, 6 Pb 3.57
Tl  0.0000  0.0000  0.2507 x2  9 Tl 3.50-3.62, 3 Pb 3.54
Tl  0.3333  0.6667  0.1661 x2  9 Tl 3.50-3.62, 3 Pb 3.59
Tl  0.3333  0.6667  0.4173 x2  6 Tl 3.50, 3 Bi 3.57, 3 Pb 3.63
Bi  0.0000  0.0000  0.5000 x1  6 Bi 3.50, 6 Tl 3.57
Pb  0.3333  0.6667  0.6675 x2  6 Pb 3.50, 6 Tl 3.54-3.63
Pb  0.3333  0.6667  0.9172 x2  6 Pb 3.50, 6 Tl 3.57-3.59

Results
- Crystal system: trigonal
- Size of the total moment: 0.0 μB/cell
- ΔH_f (0 K): 8 meV per atom
- Final energy: -35.18 eV per cell